Density functional theory data (GGA+U) for crystalline SmTl2WO6 at its relaxed geometry.

Summary:
Total DFT energy (no corrections) = -6.442 eV/atom

Cell lengths 6.1722, 6.1722, 11.5145 Å; angles 74.45, 74.45, 60.00 degrees
Atoms (fractional coordinates):
Sm 0.5988 0.5988 0.2036
Sm 0.4012 0.4012 0.7964
Tl 0.8263 0.8263 0.5212
Tl 0.1737 0.1737 0.4788
Tl 0.7033 0.7033 0.8900
Tl 0.2967 0.2967 0.1100
W 0.0000 0.0000 0.0000
W 0.5000 0.5000 0.5000
O 0.8232 0.3938 0.3892
O 0.3938 0.8232 0.3892
O 0.3938 0.3938 0.3892
O 0.1768 0.6062 0.6108
O 0.6062 0.1768 0.6108
O 0.6062 0.6062 0.6108
O 0.7285 0.1862 0.8990
O 0.1862 0.7285 0.8990
O 0.1862 0.1862 0.8990
O 0.2715 0.8138 0.1010
O 0.8138 0.2715 0.1010
O 0.8138 0.8138 0.1010

---

Density functional theory data (GGA+U) for crystalline SmTl2W3O12 at its relaxed geometry.

Summary:
Total DFT energy (no corrections) = -6.966 eV/atom

Cell lengths 7.7479, 7.7479, 7.7479 Å; angles 58.10, 58.10, 58.10 degrees
Each line ends with the local moment (μB).
Atoms (fractional coordinates):
Sm 0.0000 0.0000 0.0000  0.00
Tl 0.6665 0.6665 0.6665  0.01
Tl 0.3335 0.3335 0.3335  0.01
W 0.5000 0.0000 0.0000  -0.02
W 0.0000 0.5000 0.0000  -0.02
W 0.0000 0.0000 0.5000  -0.02
O 0.2951 0.2951 0.9339  0.03
O 0.9176 0.9176 0.3675  0.05
O 0.3675 0.9176 0.9176  0.05
O 0.9339 0.2951 0.2951  0.03
O 0.9176 0.3675 0.9176  0.05
O 0.2951 0.9339 0.2951  0.03
O 0.7049 0.7049 0.0661  0.03
O 0.0824 0.0824 0.6325  0.05
O 0.6325 0.0824 0.0824  0.05
O 0.0661 0.7049 0.7049  0.03
O 0.0824 0.6325 0.0824  0.05
O 0.7049 0.0661 0.7049  0.03

---

Q: total DFT energy (no corrections) of number 1 (SmTl2WO6)?
A: -6.442 eV/atom